Record 1
The following is a GGA-PBE calculation of a geometry-optimized LiNbMo structure, from the Open Quantum Materials Database.

Calculated values
Offset from the most stable computed form (kJ/mol of formula units): 0

a = 4.0764 Å, b = 4.0764 Å, c = 4.0764 Å
α = 60.00°, β = 60.00°, γ = 60.00°
Closest atoms and distances in Å follow each position.
Fractional coordinates of all 3 atoms:
Li 0.0000 0.0000 0.0000  4 Mo 2.50, 4 Nb 2.50
Nb 0.2500 0.2500 0.2500  4 Li 2.50
Mo 0.7500 0.7500 0.7500  4 Li 2.50


Record 2
The following is a GGA-PBE calculation of a geometry-optimized LiNdMo structure, from the Open Quantum Materials Database.

Calculated values
Energy (eV/atom): -4.725

a = 4.7141 Å, b = 4.7141 Å, c = 4.7141 Å
α = 60.00°, β = 60.00°, γ = 60.00°
Closest atoms and distances in Å follow each position.
Fractional coordinates of all 3 atoms:
Li 0.0000 0.0000 0.0000  4 Mo 2.89
Nd 0.5000 0.5000 0.5000  4 Mo 2.89
Mo 0.2500 0.2500 0.2500  4 Nd 2.89, 4 Li 2.89


Ρ for every record listed, in sequence, given in g/cm3: 6.8; 5.5.